Record 1
YOsBr, PBEsol geometry, DFT meta-GGA SCAN; formation energy (no corrections) = 0.03 eV per atom; total magnetic moment = 0.00 μB/f.u.
1.0
4.405 0.000 0.000
-2.202 3.815 0.000
0.000 0.000 3.373
Y Os Br
1 1 1
Direct
0.000 0.000 0.000
0.333 0.667 0.529
0.667 0.333 0.484

***

Record 2
TlV3H, PBEsol geometry, DFT meta-GGA SCAN; total magnetic moment = 0.00 μB/f.u.; DFT total energy = -25.635 eV/atom
1.0
3.934 0.000 0.000
0.000 3.934 0.000
0.000 0.000 3.934
Tl V H
1 3 1
Direct
0.000 0.000 0.000
0.000 0.500 0.500
0.500 0.000 0.500
0.500 0.500 0.000
0.500 0.500 0.500

***

Record 3
LuNb6Cl18, PBEsol geometry, DFT meta-GGA SCAN; formation energy (no corrections) = -1.62 eV per atom; total magnetic moment = 0.00 μB/f.u.
1.0
4.646 2.682 8.345
-4.646 2.682 8.345
0.000 -5.364 8.345
Lu Nb Cl
1 6 18
Direct
0.000 0.000 0.000
0.296 0.653 0.406
0.347 0.594 0.704
0.406 0.296 0.653
0.594 0.704 0.347
0.653 0.406 0.296
0.704 0.347 0.594
0.036 0.845 0.296
0.085 0.782 0.631
0.155 0.704 0.964
0.156 0.441 0.570
0.218 0.369 0.915
0.296 0.036 0.845
0.369 0.915 0.218
0.430 0.844 0.559
0.441 0.570 0.156
0.559 0.430 0.844
0.570 0.156 0.441
0.631 0.085 0.782
0.704 0.964 0.155
0.782 0.631 0.085
0.844 0.559 0.430
0.845 0.296 0.036
0.915 0.218 0.369
0.964 0.155 0.704

***

Record 4
NaLi2Ru6O12, PBEsol geometry, DFT meta-GGA SCAN; formation energy (no corrections) = -1.33 eV per atom; total magnetic moment = 0.00 μB/f.u.
1.0
9.425 0.000 0.000
-4.712 8.162 0.000
0.000 0.000 2.713
Na Li Ru O
1 2 6 12
Direct
0.000 0.000 0.000
0.333 0.667 0.750
0.667 0.333 0.250
0.016 0.658 0.750
0.342 0.358 0.750
0.358 0.016 0.250
0.642 0.984 0.750
0.658 0.642 0.250
0.984 0.342 0.250
0.108 0.295 0.750
0.133 0.589 0.250
0.187 0.892 0.750
0.295 0.187 0.250
0.411 0.544 0.250
0.456 0.867 0.250
0.544 0.133 0.750
0.589 0.456 0.750
0.705 0.813 0.750
0.813 0.108 0.250
0.867 0.411 0.750
0.892 0.705 0.250

***

Record 5
SbW2Br, PBEsol geometry, DFT meta-GGA SCAN; formation energy (no corrections) = 0.62 eV per atom; total magnetic moment = 0.00 μB/f.u.
1.0
3.230 0.000 0.000
0.000 5.071 0.000
0.000 0.000 9.871
Sb W Br
2 4 2
Direct
0.000 0.000 0.000
0.500 0.500 0.000
0.000 0.000 0.558
0.000 0.500 0.757
0.500 0.000 0.757
0.500 0.500 0.558
0.000 0.500 0.335
0.500 0.000 0.335

***

Record 6
AsSeBr3F6, PBEsol geometry, DFT meta-GGA SCAN; formation energy (no corrections) = -1.47 eV per atom; total magnetic moment = 0.00 μB/f.u.
1.0
7.805 0.000 0.000
0.000 9.722 0.000
-1.940 0.000 12.023
As Se Br F
4 4 12 24
Direct
0.188 0.227 0.074
0.188 0.273 0.574
0.812 0.727 0.426
0.812 0.773 0.926
0.194 0.677 0.697
0.194 0.823 0.197
0.806 0.177 0.803
0.806 0.323 0.303
0.214 0.597 0.253
0.214 0.903 0.753
0.278 0.555 0.857
0.278 0.945 0.357
0.437 0.665 0.611
0.437 0.835 0.111
0.563 0.165 0.889
0.563 0.335 0.389
0.722 0.055 0.643
0.722 0.445 0.143
0.786 0.097 0.247
0.786 0.403 0.747
0.019 0.729 0.999
0.019 0.771 0.499
0.103 0.064 0.105
0.103 0.436 0.605
0.128 0.206 0.697
0.128 0.294 0.197
0.241 0.157 0.949
0.241 0.343 0.449
0.270 0.112 0.542
0.270 0.388 0.042
0.391 0.180 0.146
0.391 0.320 0.646
0.609 0.680 0.354
0.609 0.820 0.854
0.730 0.612 0.958
0.730 0.888 0.458
0.759 0.657 0.551
0.759 0.843 0.051
0.872 0.706 0.803
0.872 0.794 0.303
0.897 0.564 0.395
0.897 0.936 0.895
0.981 0.229 0.501
0.981 0.271 0.001

***

Record 7
LaMgCo2, PBEsol geometry, DFT meta-GGA SCAN; total magnetic moment = 2.36 μB/f.u.; calculated formation energy = 0.223 eV/atom
1.0
3.100 0.000 0.000
0.000 4.514 0.000
0.000 0.000 9.907
La Mg Co
2 2 4
Direct
0.000 0.000 0.000
0.500 0.500 0.500
0.000 0.500 0.787
0.500 0.000 0.287
0.000 0.000 0.537
0.000 0.500 0.220
0.500 0.000 0.720
0.500 0.500 0.037

***

Record 8
Zn5Os, PBEsol geometry, DFT meta-GGA SCAN; total magnetic moment = 0.00 μB/f.u.; calculated formation energy = 0.057 eV/atom
1.0
9.982 0.000 0.000
0.000 2.646 0.000
-1.665 0.000 6.227
Zn Os
10 2
Direct
0.000 0.000 0.000
0.056 0.000 0.617
0.167 0.500 0.334
0.228 0.500 0.946
0.389 0.000 0.280
0.500 0.500 0.000
0.556 0.500 0.617
0.667 0.000 0.334
0.728 0.000 0.946
0.889 0.500 0.280
0.331 0.000 0.661
0.831 0.500 0.661